A plane-wave DFT calculation with PBE was carried out for a geometry-optimized AgPt4Rh structure.

```
data_AgPt4Rh
_space_group_name_H-M_alt 'F -4 3 m'
_space_group_IT_number 216
_space_group_name_Hall 'F -4 2 3'
_cell_length_a 7.425
_cell_length_b 7.425
_cell_length_c 7.425
_cell_angle_alpha 90.00
_cell_angle_beta 90.00
_cell_angle_gamma 90.00
loop_
_atom_site_label
_atom_site_fract_x
_atom_site_fract_y
_atom_site_fract_z
Ag1 0.000 0.000 0.000
Pt1 0.125 0.125 0.375
Rh1 0.250 0.250 0.750
```

Computed properties:
total moment = 0.307 μB/atom
excess energy over the best structure of this formula in the dataset = 52 meV per atom
energy of formation from the pure elements = 223.2 meV per atom
crystal system = cubic